Entry from the Alexandria database: Ho3Al2BRu3 after structural relaxation (GGA-PBE).

```
9
Lattice="3.472 0.000 0.000 0.000 7.254 0.000 0.000 -3.627 6.282" Properties=species:S:1:pos:R:3 pbc="T T T"
Ho 0.000 -1.306 2.263
Ho 0.000 2.320 4.019
Ho 0.000 2.613 0.000
Al 1.736 0.000 4.188
Al 1.736 3.627 2.094
B 0.000 0.000 0.000
Ru 1.736 5.578 0.000
Ru 1.736 0.838 1.451
Ru 1.736 -2.789 4.831
```

Results
* symmetry: P-62m (189)
* density of states at the Fermi level: 0.496 states/eV/atom
* mass density: 9.05 Mg/m³
* formation enthalpy at 0 K: -377.5 meV per atom
* M_tot: 0.000 Bohr magnetons per cell

---

Entry from the Alexandria database: TbPr2Zn2 after structural relaxation (GGA-PBE).

```
10
Lattice="-5.681 -0.944 -2.459 3.140 -3.178 -6.033 0.999 -3.312 6.935" Properties=species:S:1:pos:R:3 pbc="T T T"
Tb -2.691 -2.297 -4.861
Tb 0.150 -1.825 -3.631
Pr -1.933 -4.734 -1.689
Pr 0.392 -2.701 0.132
Pr -3.453 -2.156 0.833
Pr 1.912 -5.278 -2.390
Zn 0.811 -5.851 0.373
Zn -2.352 -1.583 -1.930
Zn 2.593 -3.242 -4.745
Zn -4.134 -4.193 3.188
```

Results
* symmetry: Ibam (72)
* density of states at the Fermi level: 1.353 states/eV/atom
* mass density: 6.71 Mg/m³
* relative energy among the computed polymorphs: 165 meV per atom
* formation enthalpy at 0 K: -32.9 meV per atom
* M_tot: 0.000 Bohr magnetons per cell

---

Q: Which of these has the highest formation enthalpy at 0 K?
A: TbPr2Zn2